Entry from Alexandria: Cs6K23Li after structural relaxation (GGA-PBE).

a b c (Å): 15.081 15.081 15.081
angles (deg): 60.00 60.00 60.00
Positions (direct):
1 Cs 0.701 0.701 0.299
2 Cs 0.299 0.299 0.701
3 Cs 0.701 0.299 0.299
4 Cs 0.299 0.701 0.701
5 Cs 0.701 0.299 0.701
6 Cs 0.299 0.701 0.299
7 K 0.643 0.119 0.119
8 K 0.357 0.881 0.881
9 K 0.119 0.119 0.643
10 K 0.119 0.119 0.119
11 K 0.881 0.881 0.357
12 K 0.881 0.881 0.881
13 K 0.119 0.643 0.119
14 K 0.881 0.357 0.881
15 K 0.500 0.500 0.000
16 K 0.000 0.000 0.500
17 K 0.500 0.000 0.000
18 K 0.000 0.500 0.500
19 K 0.500 0.000 0.500
20 K 0.000 0.500 0.000
21 K 0.011 0.330 0.330
22 K 0.989 0.670 0.670
23 K 0.330 0.330 0.011
24 K 0.330 0.330 0.330
25 K 0.670 0.670 0.989
26 K 0.670 0.670 0.670
27 K 0.330 0.011 0.330
28 K 0.670 0.989 0.670
29 K 0.000 0.000 0.000
30 Li 0.500 0.500 0.500

Calculated values
Formation enthalpy at 0 K (eV/atom): 0.0304
Symmetry: No. 225